68
Lattice="6.656 0.000 0.006 0.000 7.204 0.000 -3.206 0.000 20.121" Properties=species:S:1:pos:R:3 comment="MoP3Pb2O11, optimized geometry, DFT PBE with a Hubbard U" total_energy_ev_per_atom=-7.035 m_tot_mub_per_fu=3.0 pbc="T T T"
Mo 0.761 6.268 2.460
Mo 2.486 4.538 12.524
Mo 2.689 0.936 17.667
Mo 0.964 2.666 7.603
P -0.275 0.246 5.495
P -0.662 1.051 18.336
P -0.819 4.653 11.848
P 2.795 4.983 9.153
P 4.269 2.551 8.279
P 2.000 3.848 4.568
P 5.587 1.381 0.916
P 1.450 3.356 15.558
P 3.725 6.958 14.632
P -2.137 5.824 19.211
P 4.112 6.154 1.790
P 0.655 2.221 10.974
Pb 3.138 0.154 5.420
Pb 5.243 3.756 4.649
Pb 2.449 2.756 1.536
Pb -0.724 6.358 8.528
Pb 4.174 0.846 11.599
Pb 0.312 7.050 14.707
Pb 1.001 4.449 18.591
Pb -1.793 3.448 15.478
O 0.931 3.494 5.639
O 4.800 2.348 1.784
O 2.629 1.879 19.609
O 3.581 5.950 8.285
O 0.648 4.600 16.035
O 0.904 1.723 9.545
O 3.697 4.939 0.969
O -0.247 2.265 19.158
O 0.821 5.325 0.518
O 4.684 1.337 9.100
O 0.794 7.096 4.424
O 2.802 2.604 4.092
O 2.278 2.864 16.805
O -1.933 5.905 15.137
O 2.897 6.467 13.385
O 3.095 2.275 7.312
O 4.670 0.030 0.717
O -1.836 1.327 17.370
O 2.546 5.482 10.581
O 2.912 6.796 2.532
O 5.286 5.877 2.757
O 1.172 4.340 3.321
O -0.261 3.572 10.774
O -2.129 0.998 14.150
O 2.656 0.109 15.703
O 0.251 0.952 1.587
O 2.519 3.711 14.488
O -1.187 3.194 7.532
O 5.383 1.299 4.990
O 3.199 6.252 18.540
O 2.998 4.901 5.079
O 5.579 6.206 5.977
O 1.474 4.555 8.477
O 3.711 3.632 9.352
O -1.220 7.175 19.410
O 0.539 0.408 17.595
O 0.355 4.929 12.815
O -1.234 5.867 11.026
O -0.131 1.254 11.842
O 0.452 2.303 15.048
O 1.976 2.650 11.650
O 4.637 4.011 12.595
O -1.350 4.856 18.342
O 0.553 0.738 6.742